# 1
Material: Tb2SmCo2
Method: DFT, PBE
State: relaxed

Cell: 11.404 3.759 5.550 Å, 90.00 104.18 90.00°
Space group C2/m (No. 12)
Asymmetric unit:
Tb: 0.149 0.000 0.083
Sm: 0.000 0.500 0.500
Co: 0.220 0.000 0.604

Properties
Formation energy from the elements (eV per atom): -0.04
Calculated volume (Å³ per atom): 23.07
Calculated total energy (eV/atom): -5.679
Distance to the lowest polymorph of the same formula (eV/atom): 0.0740

---

# 2
Material: FeRu2Pt
Method: DFT, PBE
State: relaxed

Cell: 2.725 3.770 5.446 Å, 90.00 90.00 90.00°
Space group Pmm2 (No. 25)
Asymmetric unit:
Fe: 0.000 0.000 0.000
Ru: 0.000 0.000 0.527
Ru: 0.500 0.500 0.750
Pt: 0.500 0.500 0.247

Properties
Formation energy from the elements (eV per atom): 0.00
Calculated volume (Å³ per atom): 13.99
Calculated total energy (eV/atom): -8.266

---

# 3
Material: TaAg2Sn
Method: DFT, PBE
State: relaxed

Cell: 7.657 7.657 5.673 Å, 90.00 90.00 90.00°
Space group I-42d (No. 122)
Asymmetric unit:
Ta: 0.000 0.000 0.000
Ag: 0.250 0.250 0.125
Sn: 0.000 0.000 0.500

Properties
Formation energy from the elements (eV per atom): 0.60
Calculated volume (Å³ per atom): 20.78
Calculated total energy (eV/atom): -4.791

---

# 4
Material: Mn3ReSi
Method: DFT, PBE
State: relaxed

Cell: 4.580 4.580 4.580 Å, 90.00 90.00 90.00°
Space group Pm-3m (No. 221)
Asymmetric unit:
Mn: 0.000 0.000 0.500
Re: 0.000 0.000 0.000
Si: 0.500 0.500 0.500

Properties
Calculated volume (Å³ per atom): 19.22
Calculated total energy (eV/atom): -7.662
Distance to the lowest polymorph of the same formula (eV/atom): 0.3885
Formation energy (no corrections) (eV per atom): 1.41

---

# 5
Material: Ac2Zn3AgHg4
Method: DFT, PBE
State: relaxed

Cell: 4.724 4.724 11.003 Å, 90.00 90.00 90.00°
Space group P-4m2 (No. 115)
Asymmetric unit:
Ac: 0.000 0.500 0.248
Zn: 0.000 0.000 0.000
Zn: 0.000 0.500 0.628
Ag: 0.500 0.500 0.000
Hg: 0.000 0.000 0.500
Hg: 0.000 0.500 0.865
Hg: 0.500 0.500 0.500

Properties
Formation energy from the elements (eV per atom): -0.28
Calculated volume (Å³ per atom): 24.55
Calculated total energy (eV/atom): -1.885

---

# 6
Material: SnS3O
Method: DFT, PBE
State: relaxed

Cell: 5.006 5.006 5.006 Å, 90.00 90.00 90.00°
Space group Pm-3m (No. 221)
Asymmetric unit:
Sn: 0.000 0.000 0.000
S: 0.000 0.000 0.500
O: 0.500 0.500 0.500

Properties
Calculated volume (Å³ per atom): 25.09
Calculated total energy (eV/atom): -3.207
Distance to the lowest polymorph of the same formula (eV/atom): 0.5652
Formation energy (no corrections) (eV per atom): 1.06

---

- The lowest calculated total energy belongs to which entry?
  FeRu2Pt

---

- Which value of calculated total energy does entry 4 give?
  -7.662 eV/atom

---

- Which value of calculated total energy does entry 6 give?
  -3.207 eV/atom